# PBE ZrPCO2, optimized geometry
# Formation energy without anion corrections ... 0.130 eV per atom
# Calculated volume ... 90.4 Å³/f.u.
# E_tot ... -6.49 eV per atom
# Energy above the lowest structure with this stoichiometry ... 127 meV/atom
data_ZrPCO2
_cell_length_a 3.960
_cell_length_b 3.960
_cell_length_c 5.761
_cell_angle_alpha 90.00
_cell_angle_beta 90.00
_cell_angle_gamma 90.00
_symmetry_space_group_name_H-M 'P 4/m m m'
_symmetry_Int_Tables_number 123
_symmetry_space_group_name_Hall '-P 4 2'
loop_
_atom_site_label
_atom_site_fract_x
_atom_site_fract_y
_atom_site_fract_z
_atom_site_occupancy
Zr1 0.000 0.000 0.000 1
P1 0.000 0.000 0.500 1
C1 0.500 0.500 0.500 1
O1 0.000 0.500 0.000 1